Density functional theory data (PBE) for a geometry-optimized AlCo2Os structure.

a b c (Å): 2.6543 3.5816 5.1409
angles (deg): 90.00 90.22 90.00
Last column: nearest neighbours and their distance in Å.
Element x y z (fractional)
Al 0.0000 0.0000 0.0000  2 Os 2.57, 8 Co 2.58-2.59, 2 Al 2.65
Co 0.4988 0.5000 0.2550  4 Co 2.52-2.65, 4 Os 2.56, 4 Al 2.58-2.59
Co 0.5012 0.5000 0.7450  4 Co 2.52-2.65, 4 Os 2.56, 4 Al 2.58-2.59
Os 0.0000 0.0000 0.5000  8 Co 2.56, 2 Al 2.57, 2 Os 2.65

## Properties
- Space group: P2/m (10)
- Mass density: 11.38 Mg/m³
- Crystal system: monoclinic
- Spin magnetization: 0.000 μB/f.u.
- Calculated total energy: -29.7 eV/cell

Density functional theory data (PBE) for a geometry-optimized AlCo2Os structure.

a b c (Å): 2.6361 2.6361 8.1725
angles (deg): 90.00 90.00 114.75
Last column: nearest neighbours and their distance in Å.
Element x y z (fractional)
Al 0.0000 0.0000 0.0000  2 Co 2.41, 2 Os 2.58, 4 Al 2.64
Co 0.0000 0.0000 0.5245  6 Co 2.40-2.64, 2 Os 2.56
Co 0.5000 0.5000 0.7619  6 Co 2.40-2.64, 2 Al 2.41
Os 0.5000 0.5000 0.2633  2 Co 2.56, 2 Al 2.58, 6 Os 2.64-2.84

## Properties
- Space group: Cmm2 (35)
- Mass density: 10.79 Mg/m³
- Crystal system: orthorhombic
- Spin magnetization: 3.326 μB/f.u.
- Calculated total energy: -28.6 eV/cell

Density functional theory data (PBE) for a geometry-optimized Al2CoOs structure.

a b c (Å): 4.1337 4.1337 3.0093
angles (deg): 90.00 90.00 90.00
Last column: nearest neighbours and their distance in Å.
Element x y z (fractional)
Al 0.0000 0.5000 0.0000  4 Os 2.56, 4 Co 2.56
Al 0.5000 0.0000 0.0000  4 Os 2.56, 4 Co 2.56
Co 0.0000 0.0000 0.5000  8 Al 2.56
Os 0.5000 0.5000 0.5000  8 Al 2.56

## Properties
- Space group: P4/mmm (123)
- Mass density: 9.79 Mg/m³
- Crystal system: tetragonal
- Spin magnetization: 0.001 μB/f.u.
- Calculated total energy: -27.8 eV/cell

Density functional theory data (PBE) for a geometry-optimized AlCoOs2 structure.

a b c (Å): 2.8659 4.2577 4.4653
angles (deg): 90.00 90.00 90.00
Last column: nearest neighbours and their distance in Å.
Element x y z (fractional)
Al 0.0000 0.0000 0.0000  4 Os 2.57, 4 Co 2.65, 2 Al 2.87
Co 0.5000 0.0000 0.5000  4 Os 2.57, 4 Al 2.65, 2 Co 2.87
Os 0.0000 0.5000 0.5000  4 Co 2.57, 6 Os 2.65-2.87
Os 0.5000 0.5000 0.0000  4 Al 2.57, 6 Os 2.65-2.87

## Properties
- Space group: Pmmm (47)
- Mass density: 14.21 Mg/m³
- Crystal system: orthorhombic
- Spin magnetization: 2.183 μB/f.u.
- Calculated total energy: -33.1 eV/cell

- Look up the calculated total energy of the second one.
  -28.6 eV/cell

- The lowest spin magnetization belongs to which entry?
  number 1

What did the second record say?
Density functional theory data (PBE) for a geometry-optimized AlCo2Os structure.

a b c (Å): 2.6361 2.6361 8.1725
angles (deg): 90.00 90.00 114.75
Last column: nearest neighbours and their distance in Å.
Element x y z (fractional)
Al 0.0000 0.0000 0.0000  2 Co 2.41, 2 Os 2.58, 4 Al 2.64
Co 0.0000 0.0000 0.5245  6 Co 2.40-2.64, 2 Os 2.56
Co 0.5000 0.5000 0.7619  6 Co 2.40-2.64, 2 Al 2.41
Os 0.5000 0.5000 0.2633  2 Co 2.56, 2 Al 2.58, 6 Os 2.64-2.84

## Properties
- Space group: Cmm2 (35)
- Mass density: 10.79 Mg/m³
- Crystal system: orthorhombic
- Spin magnetization: 3.326 μB/f.u.
- Calculated total energy: -28.6 eV/cell

- Among the records above, which one has the highest mass density?
  AlCoOs2